Record 1
First-principles (GGA-PBE) data for crystalline FeNi2W at its relaxed geometry, as listed in Alexandria via LeMat-Bulk.

It has space group Pmmm (No. 47), with a = 2.6061 Å, b = 3.6971 Å, c = 5.1249 Å, α = 90.00°, β = 90.00° and γ = 90.00°. The inequivalent atoms are Fe at (0.0000, 0.0000, 0.0000), Ni at (0.5000, 0.5000, 0.2419) and W at (0.0000, 0.0000, 0.5000).

As for the formation energy: 0.03 eV per atom. The calculation puts the density at 12.008 Mg/m³.

Record 2
First-principles (GGA-PBE) data for crystalline Zn3Sn2Pt2 at its relaxed geometry, as listed in Alexandria via LeMat-Bulk.

It has space group P6_3/mmc (No. 194), with a = 4.3813 Å, b = 4.3813 Å, c = 15.7824 Å, α = 90.00°, β = 90.00° and γ = 120.00°. The inequivalent atoms are Zn at (0.0000, 0.0000, 0.1686), Zn at (0.3333, 0.6667, 0.2500), Sn at (0.3333, 0.6667, 0.5726), Pt at (0.0000, 0.0000, 0.0000) and Pt at (0.3333, 0.6667, 0.7500).

As for the formation energy: -0.44 eV per atom. The calculation puts the density at 10.428 Mg/m³.